{
  "formula": "TaAgTe3",
  "functional": "PBE",
  "state": "relaxed",
  "final_energy_ry_per_atom": -0.328,
  "e_form_raw_ev_per_atom": 0.370,
  "polymorph_energy_ev_per_atom": 0.522,
  "cell": [[5.423, 0.000, 0.000], [0.000, 5.423, 0.000], [0.000, 0.000, 5.423]],
  "species": ["Te", "Te", "Te", "Ag", "Ta"],
  "fractional_positions": [[0.000, 0.500, 0.000], [0.000, 0.000, 0.500], [0.500, 0.000, 0.000], [0.500, 0.500, 0.500], [0.000, 0.000, 0.000]]
}

---

{
  "formula": "Ta3AgTe",
  "functional": "PBE",
  "state": "relaxed",
  "final_energy_ry_per_atom": -0.477,
  "e_form_raw_ev_per_atom": 1.826,
  "polymorph_energy_ev_per_atom": 0.000,
  "cell": [[4.942, 0.000, 0.000], [0.000, 4.942, 0.000], [0.000, 0.000, 4.942]],
  "species": ["Te", "Ag", "Ta", "Ta", "Ta"],
  "fractional_positions": [[0.500, 0.500, 0.500], [0.000, 0.000, 0.000], [0.000, 0.500, 0.000], [0.000, 0.000, 0.500], [0.500, 0.000, 0.000]]
}

---

{
  "formula": "Ta2AgTe",
  "functional": "PBE",
  "state": "relaxed",
  "final_energy_ry_per_atom": -0.494,
  "e_form_raw_ev_per_atom": 0.706,
  "cell": [[-3.836, -2.311, -1.770], [0.583, -3.451, -3.307], [-0.784, -4.606, 1.163]],
  "species": ["Te", "Ag", "Ta", "Ta"],
  "fractional_positions": [[0.750, 0.750, 0.750], [0.500, 0.500, 0.500], [0.000, 0.000, 0.000], [0.250, 0.250, 0.250]]
}

---

{
  "formula": "Ta2AgTe",
  "functional": "PBE",
  "state": "relaxed",
  "final_energy_ry_per_atom": -0.513,
  "e_form_raw_ev_per_atom": 0.448,
  "cell": [[-0.963, 2.760, 1.990], [-2.430, -2.871, 2.805], [3.774, -0.599, 2.657]],
  "species": ["Te", "Ag", "Ta", "Ta"],
  "fractional_positions": [[0.500, 0.000, 0.500], [0.000, 0.500, 0.500], [0.000, 0.000, 0.000], [0.500, 0.500, 0.000]]
}

---

{
  "formula": "Ta3AgTe",
  "functional": "PBE",
  "state": "relaxed",
  "final_energy_ry_per_atom": -0.473,
  "e_form_raw_ev_per_atom": 1.875,
  "polymorph_energy_ev_per_atom": 0.048,
  "cell": [[-3.265, -0.148, -3.785], [3.772, -0.594, -3.230], [-0.354, -4.964, 0.500]],
  "species": ["Te", "Ag", "Ta", "Ta", "Ta"],
  "fractional_positions": [[0.000, 0.000, 0.000], [0.500, 0.500, 0.500], [0.000, 0.500, 0.000], [0.000, 0.000, 0.500], [0.500, 0.000, 0.000]]
}

---

{
  "formula": "TaAg3Te4",
  "functional": "PBE",
  "state": "relaxed",
  "final_energy_ry_per_atom": -0.320,
  "e_form_raw_ev_per_atom": -0.229,
  "polymorph_energy_ev_per_atom": 0.000,
  "cell": [[6.496, 0.000, 0.000], [0.000, 6.496, 0.000], [0.000, 0.000, 6.496]],
  "species": ["Te", "Te", "Te", "Te", "Ag", "Ag", "Ag", "Ta"],
  "fractional_positions": [[0.241, 0.241, 0.241], [0.759, 0.759, 0.241], [0.241, 0.759, 0.759], [0.759, 0.241, 0.759], [0.000, 0.500, 0.000], [0.000, 0.000, 0.500], [0.500, 0.000, 0.000], [0.000, 0.000, 0.000]]
}

---

{
  "formula": "TaAg2Te",
  "functional": "PBE",
  "state": "relaxed",
  "final_energy_ry_per_atom": -0.349,
  "e_form_raw_ev_per_atom": 0.428,
  "cell": [[5.032, 0.000, 0.000], [0.000, 2.894, 0.004], [0.000, 0.012, 5.615]],
  "species": ["Te", "Ag", "Ag", "Ta"],
  "fractional_positions": [[0.500, 0.622, 0.735], [0.000, 0.126, 0.016], [0.500, 0.128, 0.259], [0.000, 0.624, 0.490]]
}

---

{
  "formula": "TaAg2Te",
  "functional": "PBE",
  "state": "relaxed",
  "final_energy_ry_per_atom": -0.349,
  "e_form_raw_ev_per_atom": 0.430,
  "cell": [[5.638, -0.010, 0.000], [-2.826, 4.878, 0.000], [0.000, 0.000, 2.932]],
  "species": ["Te", "Ag", "Ag", "Ta"],
  "fractional_positions": [[0.000, 0.500, 0.500], [0.000, 0.000, 0.000], [0.500, 0.500, 0.000], [0.500, 0.000, 0.500]]
}

---

{
  "formula": "Ta2AgTe",
  "functional": "PBE",
  "state": "relaxed",
  "final_energy_ry_per_atom": -0.501,
  "e_form_raw_ev_per_atom": 0.610,
  "cell": [[-2.237, -3.325, 0.079], [1.287, -0.777, 3.716], [-8.393, 3.367, 5.773]],
  "species": ["Te", "Te", "Ag", "Ag", "Ta", "Ta", "Ta", "Ta"],
  "fractional_positions": [[0.000, 0.000, 0.000], [0.750, 0.250, 0.500], [0.500, 0.500, 0.000], [0.250, 0.750, 0.500], [0.627, 0.125, 0.250], [0.123, 0.625, 0.250], [0.375, 0.373, 0.750], [0.875, 0.877, 0.750]]
}

---

{
  "formula": "TaAgTe",
  "functional": "PBE",
  "state": "relaxed",
  "final_energy_ry_per_atom": -0.380,
  "e_form_raw_ev_per_atom": 0.776,
  "polymorph_energy_ev_per_atom": 0.503,
  "cell": [[4.606, 0.000, 0.000], [2.303, 3.989, 0.000], [2.303, 1.330, 3.761]],
  "species": ["Te", "Ag", "Ta"],
  "fractional_positions": [[0.250, 0.250, 0.250], [0.000, 0.000, 0.000], [0.500, 0.500, 0.500]]
}

---

{
  "formula": "TaAgTe",
  "functional": "PBE",
  "state": "relaxed",
  "final_energy_ry_per_atom": -0.396,
  "e_form_raw_ev_per_atom": 0.561,
  "polymorph_energy_ev_per_atom": 0.288,
  "cell": [[-3.390, -1.287, 2.929], [0.220, -4.130, 2.148], [0.831, -0.202, 4.582]],
  "species": ["Te", "Ag", "Ta"],
  "fractional_positions": [[0.000, 0.000, 0.000], [0.500, 0.500, 0.500], [0.250, 0.250, 0.250]]
}

---

{
  "formula": "TaAg4Te",
  "functional": "PBE",
  "state": "relaxed",
  "final_energy_ry_per_atom": -0.282,
  "e_form_raw_ev_per_atom": 0.566,
  "cell": [[-0.653, 1.496, 5.286], [-2.746, 4.639, 1.243], [-4.995, -0.290, 2.360]],
  "species": ["Ta", "Ag", "Ag", "Ag", "Ag", "Te"],
  "fractional_positions": [[0.750, 0.750, 0.750], [0.874, 0.375, 0.375], [0.375, 0.375, 0.874], [0.375, 0.874, 0.375], [0.375, 0.375, 0.375], [0.000, 0.000, 0.000]]
}

---

{
  "formula": "Ta2AgTe",
  "functional": "PBE",
  "state": "relaxed",
  "final_energy_ry_per_atom": -0.515,
  "e_form_raw_ev_per_atom": 0.411,
  "cell": [[3.245, 0.000, 0.000], [0.000, 3.245, 0.000], [0.000, 0.000, 7.204]],
  "species": ["Te", "Ag", "Ta", "Ta"],
  "fractional_positions": [[0.500, 0.500, 0.250], [0.500, 0.500, 0.750], [0.000, 0.000, 0.011], [0.000, 0.000, 0.489]]
}

---

{
  "formula": "Ta2AgTe",
  "functional": "PBE",
  "state": "relaxed",
  "final_energy_ry_per_atom": -0.514,
  "e_form_raw_ev_per_atom": 0.436,
  "cell": [[4.490, 0.000, 0.000], [0.000, 3.046, -0.008], [0.000, 1.444, 5.623]],
  "species": ["Te", "Ag", "Ta", "Ta"],
  "fractional_positions": [[0.500, 0.250, 0.250], [0.500, 0.750, 0.750], [0.000, 0.037, 0.000], [0.000, 0.463, 0.500]]
}

---

{
  "formula": "TaAg2Te",
  "functional": "PBE",
  "state": "relaxed",
  "final_energy_ry_per_atom": -0.347,
  "e_form_raw_ev_per_atom": 0.457,
  "cell": [[5.118, 0.000, 0.000], [0.000, 2.964, 0.084], [0.000, 1.523, 5.488]],
  "species": ["Te", "Ag", "Ag", "Ta"],
  "fractional_positions": [[0.500, 0.750, 0.750], [0.000, 0.689, 0.026], [0.000, 0.811, 0.474], [0.500, 0.250, 0.250]]
}

---

{
  "formula": "TaAg2Te",
  "functional": "PBE",
  "state": "relaxed",
  "final_energy_ry_per_atom": -0.350,
  "e_form_raw_ev_per_atom": 0.414,
  "cell": [[-1.701, 0.915, 2.697], [-0.764, -4.458, 1.031], [4.328, -0.103, 2.764]],
  "species": ["Te", "Ag", "Ag", "Ta"],
  "fractional_positions": [[0.000, 0.500, 0.500], [0.000, 0.000, 0.000], [0.500, 0.500, 0.000], [0.500, 0.000, 0.500]]
}

---

{
  "formula": "TaAg2Te",
  "functional": "PBE",
  "state": "relaxed",
  "final_energy_ry_per_atom": -0.357,
  "e_form_raw_ev_per_atom": 0.318,
  "cell": [[-0.106, 2.648, 1.467], [-2.809, -0.572, -0.977], [-1.975, -4.767, 8.465]],
  "species": ["Te", "Ag", "Ag", "Ta"],
  "fractional_positions": [[0.500, 0.500, 0.707], [0.000, 0.000, 0.042], [0.500, 0.500, 0.263], [0.000, 0.000, 0.488]]
}

---

{
  "formula": "TaAgTe",
  "functional": "PBE",
  "state": "relaxed",
  "final_energy_ry_per_atom": -0.415,
  "e_form_raw_ev_per_atom": 0.301,
  "polymorph_energy_ev_per_atom": 0.028,
  "cell": [[-2.113, -3.201, 4.389], [2.131, -1.122, 5.308], [-1.146, 4.099, -3.983]],
  "species": ["Te", "Ag", "Ta"],
  "fractional_positions": [[0.681, 0.681, 0.000], [0.995, 0.995, 0.000], [0.324, 0.324, 0.000]]
}

---

{
  "formula": "TaAg2Te",
  "functional": "PBE",
  "state": "relaxed",
  "final_energy_ry_per_atom": -0.366,
  "e_form_raw_ev_per_atom": 0.200,
  "cell": [[-2.893, -1.635, 1.063], [0.231, -2.176, -2.718], [3.617, -4.078, 3.573]],
  "species": ["Te", "Ag", "Ag", "Ta"],
  "fractional_positions": [[0.500, 0.500, 0.723], [0.000, 0.000, 0.029], [0.500, 0.500, 0.243], [0.000, 0.000, 0.505]]
}

---

{
  "formula": "Ta2AgTe",
  "functional": "PBE",
  "state": "relaxed",
  "final_energy_ry_per_atom": -0.528,
  "e_form_raw_ev_per_atom": 0.246,
  "cell": [[3.060, 0.006, 0.000], [-0.924, 2.917, 0.000], [0.000, 0.000, 9.415]],
  "species": ["Te", "Ag", "Ta", "Ta"],
  "fractional_positions": [[0.000, 0.000, 0.472], [0.500, 0.500, 0.781], [0.000, 0.000, 0.014], [0.500, 0.500, 0.233]]
}

---

{
  "formula": "TaAg2Te",
  "functional": "PBE",
  "state": "relaxed",
  "final_energy_ry_per_atom": -0.343,
  "e_form_raw_ev_per_atom": 0.509,
  "cell": [[-4.032, 3.846, 1.493], [-1.456, 0.856, 5.516], [4.724, -0.358, -3.291]],
  "species": ["Te", "Ag", "Ag", "Ta"],
  "fractional_positions": [[0.750, 0.250, 0.500], [0.000, 0.000, 0.000], [0.500, 0.500, 0.000], [0.250, 0.750, 0.500]]
}

---

{
  "formula": "Ta2AgTe",
  "functional": "PBE",
  "state": "relaxed",
  "final_energy_ry_per_atom": -0.509,
  "e_form_raw_ev_per_atom": 0.494,
  "cell": [[-5.047, -2.144, 1.810], [3.156, -3.188, -2.955], [0.754, -2.028, 2.164]],
  "species": ["Te", "Ag", "Ta", "Ta"],
  "fractional_positions": [[0.000, 0.500, 0.500], [0.500, 0.500, 0.000], [0.000, 0.000, 0.000], [0.500, 0.000, 0.500]]
}

---

{
  "formula": "TaAg2Te",
  "functional": "PBE",
  "state": "relaxed",
  "final_energy_ry_per_atom": -0.340,
  "e_form_raw_ev_per_atom": 0.542,
  "cell": [[-1.313, -7.387, 2.474], [2.908, 1.863, 7.106], [-1.701, -2.039, 5.622]],
  "species": ["Te", "Te", "Ag", "Ag", "Ag", "Ag", "Ta", "Ta"],
  "fractional_positions": [[0.500, 0.500, 0.000], [0.250, 0.750, 0.500], [0.629, 0.125, 0.250], [0.121, 0.625, 0.250], [0.375, 0.371, 0.750], [0.875, 0.879, 0.750], [0.000, 0.000, 0.000], [0.750, 0.250, 0.500]]
}

---

{
  "formula": "Ta4AgTe8",
  "functional": "PBE",
  "state": "relaxed",
  "final_energy_ry_per_atom": -0.444,
  "e_form_raw_ev_per_atom": -0.244,
  "cell": [[6.481, 0.000, -3.497], [-4.183, 6.060, 0.000], [0.705, 0.488, 9.062]],
  "species": ["Ta", "Ta", "Ta", "Ta", "Ag", "Te", "Te", "Te", "Te", "Te", "Te", "Te", "Te"],
  "fractional_positions": [[0.000, 0.000, 0.000], [0.000, 0.500, 0.000], [0.500, 0.500, 0.000], [0.500, 0.000, 0.000], [0.000, 0.500, 0.500], [0.486, 0.743, 0.229], [0.514, 0.257, 0.771], [0.489, 0.244, 0.229], [0.015, 0.260, 0.771], [0.511, 0.756, 0.771], [0.015, 0.756, 0.771], [0.985, 0.244, 0.229], [0.985, 0.740, 0.229]]
}

---

{
  "formula": "Ta2AgTe",
  "functional": "PBE",
  "state": "relaxed",
  "final_energy_ry_per_atom": -0.509,
  "e_form_raw_ev_per_atom": 0.497,
  "cell": [[-1.129, -6.300, 7.092], [-2.901, -7.648, 4.936], [0.155, -8.157, 4.970]],
  "species": ["Te", "Ag", "Ta", "Ta"],
  "fractional_positions": [[0.250, 0.250, 0.250], [0.750, 0.750, 0.750], [0.999, 0.999, 0.999], [0.501, 0.501, 0.501]]
}

---

{
  "formula": "TaAg2Te",
  "functional": "PBE",
  "state": "relaxed",
  "final_energy_ry_per_atom": -0.352,
  "e_form_raw_ev_per_atom": 0.388,
  "cell": [[-2.820, -4.743, -2.228], [-1.350, -5.777, 0.473], [-4.187, -0.788, 1.979]],
  "species": ["Te", "Ag", "Ag", "Ta"],
  "fractional_positions": [[0.250, 0.250, 0.250], [0.004, 0.004, 0.996], [0.496, 0.496, 0.504], [0.750, 0.750, 0.750]]
}

---

{
  "formula": "TaAg2Te",
  "functional": "PBE",
  "state": "relaxed",
  "final_energy_ry_per_atom": -0.349,
  "e_form_raw_ev_per_atom": 0.425,
  "cell": [[5.293, -0.019, -0.010], [1.925, 4.931, 0.010], [-3.602, -2.466, 2.994]],
  "species": ["Te", "Ag", "Ag", "Ta"],
  "fractional_positions": [[0.750, 0.250, 0.500], [0.000, 0.000, 0.000], [0.250, 0.750, 0.500], [0.500, 0.500, 0.000]]
}

---

{
  "formula": "TaAg2Te",
  "functional": "PBE",
  "state": "relaxed",
  "final_energy_ry_per_atom": -0.355,
  "e_form_raw_ev_per_atom": 0.340,
  "cell": [[10.529, 0.021, 0.012], [10.083, 3.030, 0.012], [10.083, 1.493, 2.637]],
  "species": ["Te", "Ag", "Ag", "Ta"],
  "fractional_positions": [[0.750, 0.750, 0.750], [0.992, 0.992, 0.992], [0.508, 0.508, 0.508], [0.250, 0.250, 0.250]]
}

---

{
  "formula": "TaAg3Te4",
  "functional": "PBE",
  "state": "relaxed",
  "final_energy_ry_per_atom": -0.310,
  "e_form_raw_ev_per_atom": -0.096,
  "polymorph_energy_ev_per_atom": 0.133,
  "cell": [[-5.986, -3.477, 2.992], [4.133, -1.590, 6.421], [-2.671, 7.724, 3.632]],
  "species": ["Ta", "Ta", "Ag", "Ag", "Ag", "Ag", "Ag", "Ag", "Te", "Te", "Te", "Te", "Te", "Te", "Te", "Te"],
  "fractional_positions": [[0.007, 0.174, 0.000], [0.507, 0.826, 0.500], [0.498, 0.846, 0.000], [0.992, 0.673, 0.248], [0.492, 0.327, 0.252], [0.998, 0.154, 0.500], [0.492, 0.327, 0.748], [0.992, 0.673, 0.752], [0.125, 0.856, 0.000], [0.658, 0.175, 0.000], [0.121, 0.332, 0.244], [0.621, 0.668, 0.256], [0.158, 0.825, 0.500], [0.625, 0.144, 0.500], [0.621, 0.668, 0.744], [0.121, 0.332, 0.756]]
}